# 1
Entry from Alexandria via LeMat-Bulk: a PBEsol-optimized structure of YGePd2 (SCAN).

Geometry as POSCAR:
```
YGePd2
1.0
5.5104 0.0000 0.0000
0.0000 7.0259 0.0000
0.0000 0.0000 7.3190
Pd Ge Y
8 4 4
Cartesian
2.2652 3.1466 4.9832
5.0204 6.6596 5.9953
0.4900 0.3663 1.3237
5.0204 3.8792 5.9953
0.4900 3.1466 1.3237
3.2453 3.8792 2.3358
3.2453 6.6596 2.3358
2.2652 0.3663 4.9832
3.5436 5.2694 4.5335
0.7884 1.7565 6.4450
1.9669 1.7565 2.7855
4.7221 5.2694 0.8740
3.5431 1.7565 0.2148
1.9674 5.2694 7.1041
4.7226 1.7565 3.8743
0.7878 5.2694 3.4447
```

The value obtained for the total magnetic moment is 0.00 μB/cell. For the total energy, the calculation gives -29.157 eV per atom.

# 2
Entry from Alexandria via LeMat-Bulk: a PBEsol-optimized structure of SrCaIn2 (SCAN).

Geometry as POSCAR:
```
SrCaIn2
1.0
5.5030 0.0000 0.0000
2.7515 4.7657 0.0000
2.7515 1.5886 4.4932
In Ca Sr
2 1 1
Cartesian
8.2545 4.7657 3.3699
2.7515 1.5886 1.1233
5.5030 3.1772 2.2466
0.0000 0.0000 0.0000
```

The value obtained for the total magnetic moment is 0.00 μB/cell. For the total energy, the calculation gives -25.266 eV per atom. For the relative energy among the computed polymorphs, the calculation gives 18 meV per atom.

# 3
Entry from Alexandria via LeMat-Bulk: a PBEsol-optimized structure of Sc3Ta (SCAN).

Geometry as POSCAR:
```
Sc3Ta
1.0
3.0852 0.0000 0.0000
0.0000 4.9339 0.0000
0.0000 0.0000 5.5441
Sc Ta
3 1
Cartesian
1.5426 0.0000 2.7631
1.5426 2.4670 4.5398
0.0000 0.0000 0.1227
0.0000 2.4670 1.8145
```

The value obtained for the total magnetic moment is 0.51 μB/cell. For the total energy, the calculation gives -27.177 eV per atom. For the relative energy among the computed polymorphs, the calculation gives 1 meV per atom.

# 4
Entry from Alexandria via LeMat-Bulk: a PBEsol-optimized structure of SrGeOs3 (SCAN).

Geometry as POSCAR:
```
SrGeOs3
1.0
4.6160 0.0000 0.0000
0.0000 4.6160 0.0000
0.0000 0.0000 4.6160
Os Sr Ge
3 1 1
Cartesian
0.0000 2.3080 0.0000
0.0000 0.0000 2.3080
2.3080 0.0000 0.0000
2.3080 2.3080 2.3080
0.0000 0.0000 0.0000
```

The value obtained for the total magnetic moment is 1.21 μB/cell. For the total energy, the calculation gives -50.214 eV per atom.

What is the total magnetic moment in the fourth record?
1.21 μB/cell

Copy entry 1 word for word.
Entry from Alexandria via LeMat-Bulk: a PBEsol-optimized structure of YGePd2 (SCAN).

Geometry as POSCAR:
```
YGePd2
1.0
5.5104 0.0000 0.0000
0.0000 7.0259 0.0000
0.0000 0.0000 7.3190
Pd Ge Y
8 4 4
Cartesian
2.2652 3.1466 4.9832
5.0204 6.6596 5.9953
0.4900 0.3663 1.3237
5.0204 3.8792 5.9953
0.4900 3.1466 1.3237
3.2453 3.8792 2.3358
3.2453 6.6596 2.3358
2.2652 0.3663 4.9832
3.5436 5.2694 4.5335
0.7884 1.7565 6.4450
1.9669 1.7565 2.7855
4.7221 5.2694 0.8740
3.5431 1.7565 0.2148
1.9674 5.2694 7.1041
4.7226 1.7565 3.8743
0.7878 5.2694 3.4447
```

The value obtained for the total magnetic moment is 0.00 μB/cell. For the total energy, the calculation gives -29.157 eV per atom.

What did the third record say?
Entry from Alexandria via LeMat-Bulk: a PBEsol-optimized structure of Sc3Ta (SCAN).

Geometry as POSCAR:
```
Sc3Ta
1.0
3.0852 0.0000 0.0000
0.0000 4.9339 0.0000
0.0000 0.0000 5.5441
Sc Ta
3 1
Cartesian
1.5426 0.0000 2.7631
1.5426 2.4670 4.5398
0.0000 0.0000 0.1227
0.0000 2.4670 1.8145
```

The value obtained for the total magnetic moment is 0.51 μB/cell. For the total energy, the calculation gives -27.177 eV per atom. For the relative energy among the computed polymorphs, the calculation gives 1 meV per atom.